No. 1
DFT (PBE-GGA) results for Ti2ReTeAu after structural relaxation.

a b c (Å): 4.8956 4.9056 4.8956
angles (deg): 90.00 90.00 90.00
With the nearest neighbours (Å) after each atom.
Element x y z (fractional)
Au  0.0000  0.5000  0.0000  2 Te 2.45
Re  0.5000  0.5000  0.5000  4 Au 3.46, 8 Ti 3.47
Ti  0.0000  0.0000  0.5000  2 Te 2.45
Ti  0.5000  0.0000  0.0000  2 Te 2.45
Te  0.0000  0.0000  0.0000  4 Ti 2.45, 2 Au 2.45

Results
Total moment (μB per cell): 0.01
Formation energy (no corrections) (eV/atom): 1.582
DOS at the Fermi energy (states/eV/f.u.): 9.83

No. 2
DFT (PBE-GGA) results for ZnRe2TeAu after structural relaxation.

a b c (Å): 4.7161 4.6542 4.7161
angles (deg): 90.00 90.00 90.00
With the nearest neighbours (Å) after each atom.
Element x y z (fractional)
Re  0.0000  0.0000  0.5000  2 Zn 2.36
Re  0.5000  0.0000  0.0000  2 Zn 2.36
Te  0.5000  0.5000  0.5000  8 Re 3.31, 4 Au 3.33
Zn  0.0000  0.0000  0.0000  2 Au 2.33, 4 Re 2.36
Au  0.0000  0.5000  0.0000  2 Zn 2.33

Results
Total moment (μB per cell): 3.24
Formation energy (no corrections) (eV/atom): 1.730
DOS at the Fermi energy (states/eV/f.u.): 3.78

No. 3
DFT (PBE-GGA) results for ThReAu after structural relaxation.

a b c (Å): 4.0639 4.1795 13.6490
angles (deg): 104.63 138.25 90.22
With the nearest neighbours (Å) after each atom.
Element x y z (fractional)
Th  0.4440  0.0763  0.2789  6 Re 3.08-3.26, 5 Au 3.24-3.32
Th  0.5560  0.9237  0.7211  6 Re 3.08-3.26, 5 Au 3.24-3.32
Au  0.4981  0.4349  0.0988  1 Re 2.77, 2 Au 2.89-2.90
Au  0.5019  0.5651  0.9012  1 Re 2.77, 2 Au 2.89-2.90
Re  0.7048  0.3088  0.5716  2 Re 2.41-2.43
Re  0.2952  0.6912  0.4284  2 Re 2.41-2.43

Results
Total moment (μB per cell): 0.00
Energy relative to the elements (eV per formula unit): -0.6
DOS at the Fermi energy (states/eV/f.u.): 2.17

No. 4
DFT (PBE-GGA) results for Th5ReAu2 after structural relaxation.

a b c (Å): 4.6157 8.1446 11.8494
angles (deg): 90.00 90.00 90.00
With the nearest neighbours (Å) after each atom.
Element x y z (fractional)
Th  0.0000  0.3567  0.2867  1 Re 2.78
Th  0.0000  0.8567  0.2133  1 Re 2.78
Th  0.0000  0.1433  0.7867  1 Re 2.78
Th  0.0000  0.6433  0.7133  1 Re 2.78
Th  0.0000  0.5000  0.0000  4 Au 3.17, 4 Th 3.51
Th  0.0000  0.0000  0.5000  4 Au 3.17, 4 Th 3.51
Th  0.5000  0.1920  0.0698  2 Re 2.91, 1 Au 3.16
Th  0.5000  0.6920  0.4302  2 Re 2.91, 1 Au 3.16
Th  0.5000  0.8080  0.9302  2 Re 2.91, 1 Au 3.16
Th  0.5000  0.3080  0.5698  2 Re 2.91, 1 Au 3.16
Au  0.5000  0.0887  0.3266  9 Th 3.16-3.46
Au  0.5000  0.4113  0.8266  9 Th 3.16-3.46
Au  0.5000  0.9113  0.6734  9 Th 3.16-3.46
Au  0.5000  0.5887  0.1734  9 Th 3.16-3.46
Re  0.0000  0.5000  0.5000  6 Th 2.78-2.91
Re  0.0000  0.0000  0.0000  6 Th 2.78-2.91

Results
Total moment (μB per cell): 0.00
Energy relative to the elements (eV per formula unit): -2.6
DOS at the Fermi energy (states/eV/f.u.): 10.40

No. 5
DFT (PBE-GGA) results for Th2ReAu after structural relaxation.

a b c (Å): 3.5121 3.5121 7.9359
angles (deg): 90.00 90.00 90.00
With the nearest neighbours (Å) after each atom.
Element x y z (fractional)
Th  0.0000  0.0000  0.2268  4 Re 3.07, 4 Au 3.30
Th  0.0000  0.0000  0.7732  4 Re 3.07, 4 Au 3.30
Au  0.5000  0.5000  0.5000  8 Th 3.30, 4 Au 3.51
Re  0.5000  0.5000  0.0000  8 Th 3.07

Results
Total moment (μB per cell): 0.00
Energy relative to the elements (eV per formula unit): -1.0
Energy above the lowest structure with this stoichiometry (meV/atom): 0
DOS at the Fermi energy (states/eV/f.u.): 3.57

No. 6
DFT (PBE-GGA) results for Th2ReAu after structural relaxation.

a b c (Å): 5.1601 5.1601 5.1601
angles (deg): 60.00 60.00 60.00
With the nearest neighbours (Å) after each atom.
Element x y z (fractional)
Au  0.5000  0.5000  0.5000  8 Th 3.16
Re  0.0000  0.0000  0.0000  8 Th 3.16
Th  0.2500  0.2500  0.2500  4 Re 3.16, 4 Au 3.16
Th  0.7500  0.7500  0.7500  4 Re 3.16, 4 Au 3.16

Results
Total moment (μB per cell): 0.00
Energy relative to the elements (eV per formula unit): -0.6
Energy above the lowest structure with this stoichiometry (meV/atom): 99
DOS at the Fermi energy (states/eV/f.u.): 5.79

No. 7
DFT (PBE-GGA) results for Th2ReAu after structural relaxation.

a b c (Å): 3.3519 3.3519 10.5332
angles (deg): 80.84 80.84 60.00
With the nearest neighbours (Å) after each atom.
Element x y z (fractional)
Au  0.5000  0.5000  0.5000  6 Th 3.22, 6 Au 3.35
Th  0.0838  0.0838  0.7486  1 Re 2.60
Th  0.9162  0.9162  0.2514  1 Re 2.60
Re  0.0000  0.0000  0.0000  2 Th 2.60

Results
Total moment (μB per cell): 0.00
Energy relative to the elements (eV per formula unit): 2.1
Energy above the lowest structure with this stoichiometry (meV/atom): 794
DOS at the Fermi energy (states/eV/f.u.): 3.56

No. 8
DFT (PBE-GGA) results for Ti4Re3Au after structural relaxation.

a b c (Å): 3.1771 4.4579 8.7727
angles (deg): 90.00 90.00 90.00
With the nearest neighbours (Å) after each atom.
Element x y z (fractional)
Re  0.5000  0.0000  0.2463  8 Ti 2.68-2.74
Re  0.5000  0.5000  0.5000  8 Ti 2.62-2.74
Re  0.5000  0.0000  0.7537  8 Ti 2.68-2.74
Ti  0.0000  0.5000  0.2632  6 Re 2.62-2.74, 2 Au 2.80
Ti  0.0000  0.0000  0.5000  8 Re 2.73-2.74, 4 Ti 3.05
Ti  0.0000  0.0000  0.0000  4 Re 2.68, 4 Au 2.74
Ti  0.0000  0.5000  0.7368  6 Re 2.62-2.74, 2 Au 2.80
Au  0.5000  0.5000  0.0000  8 Ti 2.74-2.80

Results
Total moment (μB per cell): 0.00
Energy relative to the elements (eV per formula unit): -3.4
DOS at the Fermi energy (states/eV/f.u.): 3.87

No. 9
DFT (PBE-GGA) results for TiRe2Au after structural relaxation.

a b c (Å): 4.4730 4.4730 4.4730
angles (deg): 60.00 60.00 60.00
With the nearest neighbours (Å) after each atom.
Element x y z (fractional)
Au  0.5000  0.5000  0.5000  8 Re 2.74
Ti  0.0000  0.0000  0.0000  8 Re 2.74
Re  0.2500  0.2500  0.2500  4 Ti 2.74, 4 Au 2.74
Re  0.7500  0.7500  0.7500  4 Ti 2.74, 4 Au 2.74

Results
Total moment (μB per cell): 0.00
Energy relative to the elements (eV per formula unit): 1.6
Energy above the lowest structure with this stoichiometry (meV/atom): 0
DOS at the Fermi energy (states/eV/f.u.): 5.47

No. 10
DFT (PBE-GGA) results for TiReAu after structural relaxation.

a b c (Å): 4.3030 4.3030 6.0538
angles (deg): 90.00 90.00 90.00
With the nearest neighbours (Å) after each atom.
Element x y z (fractional)
Re  0.5000  0.5000  0.0000  4 Ti 2.56
Re  0.0000  0.0000  0.0000  4 Ti 2.56
Ti  0.5000  0.0000  0.7697  4 Re 2.56, 4 Au 2.70
Ti  0.0000  0.5000  0.2303  4 Re 2.56, 4 Au 2.70
Au  0.5000  0.5000  0.5000  4 Ti 2.70
Au  0.0000  0.0000  0.5000  4 Ti 2.70

Results
Total moment (μB per cell): 0.00
Energy relative to the elements (eV per formula unit): 1.1
DOS at the Fermi energy (states/eV/f.u.): 2.91

No. 11
DFT (PBE-GGA) results for TiReAu2 after structural relaxation.

a b c (Å): 4.5614 4.5614 4.5614
angles (deg): 60.00 60.00 60.00
With the nearest neighbours (Å) after each atom.
Element x y z (fractional)
Au  0.7500  0.7500  0.7500  4 Re 2.79, 4 Ti 2.79
Au  0.2500  0.2500  0.2500  4 Re 2.79, 4 Ti 2.79
Re  0.5000  0.5000  0.5000  8 Au 2.79
Ti  0.0000  0.0000  0.0000  8 Au 2.79

Results
Total moment (μB per cell): 0.00
Energy relative to the elements (eV per formula unit): 1.2
Energy above the lowest structure with this stoichiometry (meV/atom): 0
DOS at the Fermi energy (states/eV/f.u.): 6.74

No. 12
DFT (PBE-GGA) results for TiRe2Au after structural relaxation.

a b c (Å): 3.8163 3.8163 9.9950
angles (deg): 78.99 78.99 90.00
With the nearest neighbours (Å) after each atom.
Element x y z (fractional)
Au  0.0000  0.0000  0.0000  4 Ti 2.70, 4 Re 2.83
Au  0.7500  0.2500  0.5000  4 Ti 2.70, 4 Re 2.83
Re  0.5783  0.1250  0.2500  2 Re 2.46, 2 Ti 2.70
Re  0.1717  0.6250  0.2500  2 Re 2.46, 2 Ti 2.70
Re  0.8750  0.8283  0.7500  2 Re 2.46, 2 Ti 2.70
Re  0.3750  0.4217  0.7500  2 Re 2.46, 2 Ti 2.70
Ti  0.2500  0.7500  0.5000  4 Au 2.70, 4 Re 2.70
Ti  0.5000  0.5000  0.0000  4 Au 2.70, 4 Re 2.70

Results
Total moment (μB per cell): 0.00
Energy relative to the elements (eV per formula unit): 2.0
Energy above the lowest structure with this stoichiometry (meV/atom): 112
DOS at the Fermi energy (states/eV/f.u.): 4.42